[1]
# PBEsol Ba2CuTeO6, relaxed
data_Ba2CuTeO6
_symmetry_space_group_name_H-M 'I 4/m'
_symmetry_Int_Tables_number 87
_symmetry_space_group_name_Hall '-I 4'
_cell_length_a 5.6180
_cell_length_b 5.6180
_cell_length_c 8.5188
_cell_angle_alpha 90.00
_cell_angle_beta 90.00
_cell_angle_gamma 90.00
loop_
_atom_site_label
_atom_site_type_symbol
_atom_site_fract_x
_atom_site_fract_y
_atom_site_fract_z
_atom_site_occupancy
Ba1 Ba 0.0000 0.5000 0.2500 1
Cu1 Cu 0.0000 0.0000 0.0000 1
Te1 Te 0.0000 0.0000 0.5000 1
O1 O 0.0000 0.0000 0.2730 1
O2 O 0.2476 0.7508 0.5000 1
# - calculated total energy (eV per cell) = -123.24
# - ΔE_f (raw) (eV/atom) = -1.80
# - calculated density (Mg/m³) = 6.9

***

[2]
# PBEsol Ba4TiCu3O9, relaxed
data_Ba4TiCu3O9
_symmetry_space_group_name_H-M 'P m -3 n'
_symmetry_Int_Tables_number 223
_symmetry_space_group_name_Hall '-P 4n 2 3'
_cell_length_a 7.8473
_cell_length_b 7.8473
_cell_length_c 7.8473
_cell_angle_alpha 90.00
_cell_angle_beta 90.00
_cell_angle_gamma 90.00
loop_
_atom_site_label
_atom_site_type_symbol
_atom_site_fract_x
_atom_site_fract_y
_atom_site_fract_z
_atom_site_occupancy
Ba1 Ba 0.2500 0.2500 0.2500 1
Ti1 Ti 0.0000 0.0000 0.0000 1
Cu1 Cu 0.0000 0.0000 0.5000 1
O1 O 0.0000 0.0000 0.2543 1
O2 O 0.0000 0.2500 0.5000 1
# - calculated total energy (eV per cell) = -224.85
# - ΔE_f (raw) (eV/atom) = -2.07
# - calculated density (Mg/m³) = 6.4

***

[3]
# PBEsol BaTm2CuO5, relaxed
data_BaTm2CuO5
_symmetry_space_group_name_H-M 'P n m a'
_symmetry_Int_Tables_number 62
_cell_length_a 11.9687
_cell_length_b 5.5700
_cell_length_c 7.0075
_cell_angle_alpha 90.00
_cell_angle_beta 90.00
_cell_angle_gamma 90.00
loop_
_symmetry_equiv_pos_as_xyz
'x,y,z'
'-x,-y,-z'
'-x+1/2,-y,z+1/2'
'x+1/2,y,-z+1/2'
'x+1/2,-y+1/2,-z+1/2'
'-x+1/2,y+1/2,z+1/2'
'-x,y+1/2,-z'
'x,-y+1/2,z'
loop_
_atom_site_label
_atom_site_type_symbol
_atom_site_fract_x
_atom_site_fract_y
_atom_site_fract_z
_atom_site_occupancy
Ba1 Ba 0.0962 0.2500 0.0701 1
Tm1 Tm 0.0745 0.7500 0.3985 1
Tm2 Tm 0.2121 0.2500 0.6157 1
Cu1 Cu 0.1603 0.7500 0.7852 1
O1 O 0.0670 0.5040 0.6627 1
O2 O 0.1019 0.7500 0.0855 1
O3 O 0.2274 0.0020 0.3588 1
# - calculated total energy (eV per cell) = -270.89
# - ΔE_f (raw) (eV/atom) = -2.80
# - calculated density (Mg/m³) = 8.8

***

[4]
# PBEsol Ba4Tm2Cu6O13, relaxed
data_Ba4Tm2Cu6O13
_symmetry_space_group_name_H-M 'F m m m'
_symmetry_Int_Tables_number 69
_symmetry_space_group_name_Hall '-F 2 2'
_cell_length_a 7.5832
_cell_length_b 7.7037
_cell_length_c 23.4458
_cell_angle_alpha 90.00
_cell_angle_beta 90.00
_cell_angle_gamma 90.00
loop_
_atom_site_label
_atom_site_type_symbol
_atom_site_fract_x
_atom_site_fract_y
_atom_site_fract_z
_atom_site_occupancy
Ba1 Ba 0.2411 0.0000 0.0963 1
Tm1 Tm 0.2500 0.0000 0.2500 1
Cu1 Cu 0.0000 0.2431 0.0000 1
Cu2 Cu 0.0000 0.2486 0.3169 1
O1 O 0.0000 0.0000 0.0000 1
O2 O 0.0000 0.0000 0.1897 1
O3 O 0.0000 0.0000 0.3081 1
O4 O 0.0000 0.2284 0.4236 1
O5 O 0.2500 0.2500 0.1912 1
# - calculated total energy (eV per cell) = -639.95
# - ΔE_f (raw) (eV/atom) = -1.89
# - calculated density (Mg/m³) = 7.2

***

[5]
# PBEsol Ba4YCuW2O12, relaxed
data_Ba4YCuW2O12
_symmetry_space_group_name_H-M 'P 4/m m m'
_symmetry_Int_Tables_number 123
_symmetry_space_group_name_Hall '-P 4 2'
_cell_length_a 5.8534
_cell_length_b 5.8534
_cell_length_c 8.3278
_cell_angle_alpha 90.00
_cell_angle_beta 90.00
_cell_angle_gamma 90.00
loop_
_atom_site_label
_atom_site_type_symbol
_atom_site_fract_x
_atom_site_fract_y
_atom_site_fract_z
_atom_site_occupancy
Ba1 Ba 0.0000 0.5000 0.2351 1
Y1 Y 0.0000 0.0000 0.5000 1
Cu1 Cu 0.5000 0.5000 0.0000 1
W1 W 0.0000 0.0000 0.0000 1
W2 W 0.5000 0.5000 0.5000 1
O1 O 0.0000 0.0000 0.2349 1
O2 O 0.2324 0.2324 0.0000 1
O3 O 0.2653 0.2653 0.5000 1
O4 O 0.5000 0.5000 0.2706 1
# - calculated total energy (eV per cell) = -162.86
# - ΔE_f (raw) (eV/atom) = -2.63
# - calculated density (Mg/m³) = 7.3

***

[6]
# PBEsol Ba8Y4CuW3O24, relaxed
data_Ba8Y4CuW3O24
_symmetry_space_group_name_H-M 'I 4/m m m'
_symmetry_Int_Tables_number 139
_symmetry_space_group_name_Hall '-I 4 2'
_cell_length_a 8.3479
_cell_length_b 8.3479
_cell_length_c 17.0036
_cell_angle_alpha 90.00
_cell_angle_beta 90.00
_cell_angle_gamma 90.00
loop_
_atom_site_label
_atom_site_type_symbol
_atom_site_fract_x
_atom_site_fract_y
_atom_site_fract_z
_atom_site_occupancy
Ba1 Ba 0.2324 0.2324 0.1183 1
Y1 Y 0.0000 0.0000 0.2574 1
Y2 Y 0.0000 0.5000 0.0000 1
Cu1 Cu 0.0000 0.0000 0.0000 1
W1 W 0.0000 0.0000 0.5000 1
W2 W 0.0000 0.5000 0.2500 1
O1 O 0.0000 0.0000 0.1343 1
O2 O 0.0000 0.0000 0.3880 1
O3 O 0.0000 0.2320 0.5000 1
O4 O 0.0000 0.2432 0.0000 1
O5 O 0.0000 0.2698 0.2534 1
O6 O 0.0000 0.5000 0.1348 1
# - calculated total energy (eV per cell) = -658.00
# - ΔE_f (raw) (eV/atom) = -2.82
# - calculated density (Mg/m³) = 6.9

***

[7]
# PBEsol Ba2YCu3O7, relaxed
data_Ba2YCu3O7
_symmetry_space_group_name_H-M 'P m m m'
_symmetry_Int_Tables_number 47
_cell_length_a 3.7976
_cell_length_b 3.8652
_cell_length_c 11.5131
_cell_angle_alpha 90.00
_cell_angle_beta 90.00
_cell_angle_gamma 90.00
loop_
_symmetry_equiv_pos_as_xyz
'x,y,z'
'-x,-y,-z'
'-x,-y,z'
'x,y,-z'
'x,-y,-z'
'-x,y,z'
'-x,y,-z'
'x,-y,z'
loop_
_atom_site_label
_atom_site_type_symbol
_atom_site_fract_x
_atom_site_fract_y
_atom_site_fract_z
_atom_site_occupancy
Ba1 Ba 0.0000 0.0000 0.1816 1
Y1 Y 0.0000 0.0000 0.5000 1
Cu1 Cu 0.5000 0.5000 0.0000 1
Cu2 Cu 0.5000 0.5000 0.3521 1
O1 O 0.0000 0.5000 0.3782 1
O2 O 0.5000 0.0000 0.0000 1
O3 O 0.5000 0.0000 0.3774 1
O4 O 0.5000 0.5000 0.1615 1
# - calculated total energy (eV per cell) = -84.98
# - ΔE_f (raw) (eV/atom) = -1.85
# - calculated density (Mg/m³) = 6.5

***

[8]
# PBEsol BaYCu2O5, relaxed
data_BaYCu2O5
_symmetry_space_group_name_H-M 'P 4/m m m'
_symmetry_Int_Tables_number 123
_symmetry_space_group_name_Hall '-P 4 2'
_cell_length_a 3.8451
_cell_length_b 3.8451
_cell_length_c 7.3813
_cell_angle_alpha 90.00
_cell_angle_beta 90.00
_cell_angle_gamma 90.00
loop_
_atom_site_label
_atom_site_type_symbol
_atom_site_fract_x
_atom_site_fract_y
_atom_site_fract_z
_atom_site_occupancy
Ba1 Ba 0.0000 0.0000 0.0000 1
Y1 Y 0.0000 0.0000 0.5000 1
Cu1 Cu 0.5000 0.5000 0.2687 1
O1 O 0.0000 0.5000 0.3112 1
O2 O 0.5000 0.5000 0.0000 1
# - calculated total energy (eV per cell) = -61.14
# - ΔE_f (raw) (eV/atom) = -1.92
# - calculated density (Mg/m³) = 6.6

***

[9]
# PBEsol Ba2YCu3O8, relaxed
data_Ba2YCu3O8
_symmetry_space_group_name_H-M 'P 4/m m m'
_symmetry_Int_Tables_number 123
_symmetry_space_group_name_Hall '-P 4 2'
_cell_length_a 3.8692
_cell_length_b 3.8692
_cell_length_c 11.3541
_cell_angle_alpha 90.00
_cell_angle_beta 90.00
_cell_angle_gamma 90.00
loop_
_atom_site_label
_atom_site_type_symbol
_atom_site_fract_x
_atom_site_fract_y
_atom_site_fract_z
_atom_site_occupancy
Ba1 Ba 0.0000 0.0000 0.1709 1
Y1 Y 0.0000 0.0000 0.5000 1
Cu1 Cu 0.5000 0.5000 0.0000 1
Cu2 Cu 0.5000 0.5000 0.3468 1
O1 O 0.0000 0.5000 0.0000 1
O2 O 0.0000 0.5000 0.3781 1
O3 O 0.5000 0.5000 0.1725 1
# - calculated total energy (eV per cell) = -90.07
# - ΔE_f (raw) (eV/atom) = -1.71
# - calculated density (Mg/m³) = 6.7

***

[10]
# PBEsol Ba2YCu4O8, relaxed
data_Ba2YCu4O8
_symmetry_space_group_name_H-M 'C m m m'
_symmetry_Int_Tables_number 65
_symmetry_space_group_name_Hall '-C 2 2'
_cell_length_a 3.8462
_cell_length_b 26.8698
_cell_length_c 3.8303
_cell_angle_alpha 90.00
_cell_angle_beta 90.00
_cell_angle_gamma 90.00
loop_
_atom_site_label
_atom_site_type_symbol
_atom_site_fract_x
_atom_site_fract_y
_atom_site_fract_z
_atom_site_occupancy
Ba1 Ba 0.0000 0.1357 0.0000 1
Y1 Y 0.0000 0.0000 0.0000 1
Cu1 Cu 0.0000 0.2876 0.5000 1
Cu2 Cu 0.0000 0.4381 0.5000 1
O1 O 0.0000 0.0524 0.5000 1
O2 O 0.0000 0.2179 0.5000 1
O3 O 0.0000 0.3556 0.5000 1
O4 O 0.0000 0.4474 0.0000 1
# - calculated total energy (eV per cell) = -191.96
# - ΔE_f (raw) (eV/atom) = -1.70
# - calculated density (Mg/m³) = 6.3

***

[11]
# PBEsol BaCu2Os, relaxed
data_BaCu2Os
_symmetry_space_group_name_H-M 'C 1 m 1'
_symmetry_Int_Tables_number 8
_cell_length_a 7.3621
_cell_length_b 4.2522
_cell_length_c 6.0299
_cell_angle_alpha 90.00
_cell_angle_beta 114.11
_cell_angle_gamma 90.00
loop_
_symmetry_equiv_pos_as_xyz
'x,y,z'
'x,-y,z'
'x+1/2,y+1/2,z'
'x+1/2,-y+1/2,z'
loop_
_atom_site_label
_atom_site_type_symbol
_atom_site_fract_x
_atom_site_fract_y
_atom_site_fract_z
_atom_site_occupancy
Ba1 Ba 0.0000 0.0000 0.0000 1
Cu1 Cu 0.0065 0.5000 0.5174 1
Cu2 Cu 0.3200 0.5000 0.4579 1
Os1 Os 0.1836 0.0000 0.5487 1
# - energy above the lowest structure with this stoichiometry (kJ/mol of atoms) = 0.0
# - calculated total energy (eV per cell) = -42.96
# - calculated density (Mg/m³) = 8.8

***

[12]
# PBEsol BaCu2Os, relaxed
data_BaCu2Os
_symmetry_space_group_name_H-M 'P 4 m m'
_symmetry_Int_Tables_number 99
_cell_length_a 3.1126
_cell_length_b 3.1126
_cell_length_c 7.4181
_cell_angle_alpha 90.00
_cell_angle_beta 90.00
_cell_angle_gamma 90.00
loop_
_symmetry_equiv_pos_as_xyz
'x,y,z'
'-y,x,z'
'-x,-y,z'
'y,-x,z'
'-x,y,z'
'y,x,z'
'x,-y,z'
'-y,-x,z'
loop_
_atom_site_label
_atom_site_type_symbol
_atom_site_fract_x
_atom_site_fract_y
_atom_site_fract_z
_atom_site_occupancy
Ba1 Ba 0.0000 0.0000 0.0000 1
Cu1 Cu 0.0000 0.0000 0.4988 1
Cu2 Cu 0.5000 0.5000 0.3336 1
Os1 Os 0.5000 0.5000 0.6731 1
# - energy above the lowest structure with this stoichiometry (kJ/mol of atoms) = 32.1
# - calculated total energy (eV per cell) = -20.15
# - calculated density (Mg/m³) = 10.5

***

Q: What is the formula in the second record?
A: Ba4TiCu3O9

***

Please write out number 3 again, unchanged.
# PBEsol BaTm2CuO5, relaxed
data_BaTm2CuO5
_symmetry_space_group_name_H-M 'P n m a'
_symmetry_Int_Tables_number 62
_cell_length_a 11.9687
_cell_length_b 5.5700
_cell_length_c 7.0075
_cell_angle_alpha 90.00
_cell_angle_beta 90.00
_cell_angle_gamma 90.00
loop_
_symmetry_equiv_pos_as_xyz
'x,y,z'
'-x,-y,-z'
'-x+1/2,-y,z+1/2'
'x+1/2,y,-z+1/2'
'x+1/2,-y+1/2,-z+1/2'
'-x+1/2,y+1/2,z+1/2'
'-x,y+1/2,-z'
'x,-y+1/2,z'
loop_
_atom_site_label
_atom_site_type_symbol
_atom_site_fract_x
_atom_site_fract_y
_atom_site_fract_z
_atom_site_occupancy
Ba1 Ba 0.0962 0.2500 0.0701 1
Tm1 Tm 0.0745 0.7500 0.3985 1
Tm2 Tm 0.2121 0.2500 0.6157 1
Cu1 Cu 0.1603 0.7500 0.7852 1
O1 O 0.0670 0.5040 0.6627 1
O2 O 0.1019 0.7500 0.0855 1
O3 O 0.2274 0.0020 0.3588 1
# - calculated total energy (eV per cell) = -270.89
# - ΔE_f (raw) (eV/atom) = -2.80
# - calculated density (Mg/m³) = 8.8